--- w ---
Density functional theory data (PBE) for a relaxed Cd2AgHIr crystal.

Cell lengths 5.2369, 5.2369, 5.1823 Å; angles 90.00, 90.00, 90.00 degrees
Last column: nearest neighbours and their distance in Å.
Atoms (fractional coordinates):
Cd (0.0000, 0.5000, 0.0000)  2 Ir 2.62
Cd (0.5000, 0.0000, 0.0000)  2 Ir 2.62
Ag (0.0000, 0.0000, 0.5000)  2 Ir 2.59
H (0.5000, 0.5000, 0.5000)  8 Cd 3.68, 4 Ag 3.70
Ir (0.0000, 0.0000, 0.0000)  2 Ag 2.59, 4 Cd 2.62

Values from the calculation:
As for the crystal system: tetragonal. Its volume is 28.43 A^3/atom. As for the space-group type: P4/mmm, No. 123.

***

--- x ---
Density functional theory data (PBE) for a relaxed Cd2AgHIr crystal.

Cell lengths 4.7004, 4.7004, 3.4797 Å; angles 90.00, 90.00, 90.00 degrees
Last column: nearest neighbours and their distance in Å.
Atoms (fractional coordinates):
Cd (0.0000, 0.5000, 0.0000)  2 H 2.35
Cd (0.5000, 0.0000, 0.0000)  2 H 2.35
Ag (0.0000, 0.0000, 0.5000)  8 Cd 2.92
H (0.5000, 0.5000, 0.0000)  2 Ir 1.74
Ir (0.5000, 0.5000, 0.5000)  2 H 1.74

Values from the calculation:
As for the crystal system: tetragonal. Its volume is 15.38 A^3/atom. As for the space-group type: P4/mmm, No. 123.

***

Of them, the most stable is x and the least stable is w.

***

--- w ---
Density functional theory data (PBE) for a relaxed K2CdAgH crystal.

Cell lengths 6.0660, 6.0660, 3.8530 Å; angles 90.00, 90.00, 90.00 degrees
Last column: nearest neighbours and their distance in Å.
Atoms (fractional coordinates):
K (0.0000, 0.5000, 0.0000)  2 H 3.03
K (0.5000, 0.0000, 0.0000)  2 H 3.03
Cd (0.0000, 0.0000, 0.5000)  8 K 3.59, 2 Cd 3.85
Ag (0.5000, 0.5000, 0.5000)  2 H 1.93
H (0.5000, 0.5000, 0.0000)  2 Ag 1.93

Values from the calculation:
As for the crystal system: tetragonal. Its volume is 28.35 A^3/atom. As for the space-group type: P4/mmm, No. 123.

***

--- x ---
Density functional theory data (PBE) for a relaxed K2CdAgH crystal.

Cell lengths 5.3410, 5.3410, 4.7714 Å; angles 90.00, 90.00, 90.00 degrees
Last column: nearest neighbours and their distance in Å.
Atoms (fractional coordinates):
K (0.0000, 0.5000, 0.0000)  2 H 2.67
K (0.5000, 0.0000, 0.0000)  2 H 2.67
Cd (0.0000, 0.0000, 0.5000)  2 H 2.39
Ag (0.5000, 0.5000, 0.5000)  8 K 3.58, 4 Cd 3.78
H (0.0000, 0.0000, 0.0000)  2 Cd 2.39, 4 K 2.67

Values from the calculation:
As for the crystal system: tetragonal. Its volume is 27.22 A^3/atom. As for the space-group type: P4/mmm, No. 123.

***

Of them, the most stable is w and the least stable is x.

***

--- w ---
Density functional theory data (PBE) for a relaxed Mg2CdAgH crystal.

Cell lengths 4.5167, 4.5167, 4.0365 Å; angles 90.00, 90.00, 90.00 degrees
Last column: nearest neighbours and their distance in Å.
Atoms (fractional coordinates):
Mg (0.0000, 0.5000, 0.0000)  2 H 2.26
Mg (0.5000, 0.0000, 0.0000)  2 H 2.26
Cd (0.0000, 0.0000, 0.5000)  8 Mg 3.03, 4 Ag 3.19
Ag (0.5000, 0.5000, 0.5000)  2 H 2.02
H (0.5000, 0.5000, 0.0000)  2 Ag 2.02, 4 Mg 2.26

Values from the calculation:
As for the crystal system: tetragonal. Its volume is 16.47 A^3/atom. As for the space-group type: P4/mmm, No. 123.

***

--- x ---
Density functional theory data (PBE) for a relaxed Mg2CdAgH crystal.

Cell lengths 4.3480, 4.3480, 4.3746 Å; angles 90.00, 90.00, 90.00 degrees
Last column: nearest neighbours and their distance in Å.
Atoms (fractional coordinates):
Mg (0.0000, 0.5000, 0.0000)  2 H 2.17
Mg (0.5000, 0.0000, 0.0000)  2 H 2.17
Cd (0.0000, 0.0000, 0.5000)  2 H 2.19
Ag (0.5000, 0.5000, 0.5000)  4 Cd 3.07, 8 Mg 3.08
H (0.0000, 0.0000, 0.0000)  4 Mg 2.17, 2 Cd 2.19

Values from the calculation:
As for the crystal system: tetragonal. Its volume is 16.54 A^3/atom. As for the space-group type: P4/mmm, No. 123.

***

Of them, the most stable is w and the least stable is x.